[1]
A geometry-optimized CaTaH structure. Source: the Alexandria database, functional PBE.

Calculated total energy, eV/atom: -3.524
Density of states at the Fermi level, states/eV/cell: 17.15

abc: 6.905 6.905 6.905
angles: 90.00 90.00 90.00
Space group F-43m (No. 216)
Unique sites:
Ca 0.000 0.000 0.000
Ta 0.250 0.250 0.250
H 0.000 0.000 0.500

---

[2]
A geometry-optimized Sr2LaSnH structure. Source: the Alexandria database, functional PBE.

Calculated total energy, eV/atom: -3.525
Density of states at the Fermi level, states/eV/cell: 3.65

abc: 5.230 5.230 5.179
angles: 90.00 90.00 90.00
Space group P4/mmm (No. 123)
Unique sites:
Sr 0.000 0.500 0.000
La 0.000 0.000 0.500
Sn 0.500 0.500 0.500
H 0.000 0.000 0.000

---

[3]
A geometry-optimized Pm5CdTe5 structure. Source: the Alexandria database, functional PBE.

Calculated total energy, eV/atom: -4.877
Formation energy without anion corrections, eV/f.u.: -13.27
Density of states at the Fermi level, states/eV/cell: 10.33

abc: 14.051 6.321 8.870
angles: 90.00 108.41 90.00
Space group C2/m (No. 12)
Unique sites:
Pm 0.000 0.000 0.000
Pm 0.167 0.500 0.338
Pm 0.168 0.500 0.830
Cd 0.000 0.500 0.000
Te 0.000 0.500 0.500
Te 0.165 0.000 0.337
Te 0.165 0.000 0.829

---

[4]
A geometry-optimized Pm6HoS8 structure. Source: the Alexandria database, functional PBE.

Calculated total energy, eV/atom: -6.469
Formation energy without anion corrections, eV/f.u.: -30.94
Density of states at the Fermi level, states/eV/cell: 27.76

abc: 11.365 11.365 11.365
angles: 90.00 90.00 90.00
Space group Fm-3m (No. 225)
Unique sites:
Pm 0.000 0.250 0.250
Ho 0.000 0.000 0.000
S 0.000 0.000 0.243
S 0.250 0.250 0.250